Record 1
YInSCl2 after structural relaxation. Source: the Alexandria database, functional PBE.

Unit cell a=5.057 b=5.057 c=5.063 alpha=90.00 beta=90.00 gamma=90.00
Site moments in Bohr magnetons follow the coordinates.
Atoms (fractional coordinates):
1 In 0.000 0.000 0.000  0.00
2 Cl 0.500 0.000 0.000  0.01
3 Y 0.500 0.500 0.500  0.61
4 S 0.000 0.000 0.500  -0.02
5 Cl 0.000 0.500 0.000  0.01

Values from the calculation:
final energy: -19.50 eV per formula unit
raw formation energy: -495 meV per atom

---

Record 2
KSn4Hg2 after structural relaxation. Source: the Alexandria database, functional PBE.

Unit cell a=4.959 b=5.045 c=9.094 alpha=106.10 beta=90.00 gamma=90.00
Atoms (fractional coordinates):
1 Sn 0.000 0.305 0.611
2 Sn 0.500 0.191 0.383
3 Hg 0.500 0.417 0.834
4 Sn 0.000 0.695 0.389
5 Sn 0.500 0.809 0.617
6 Hg 0.500 0.583 0.166
7 K 0.000 0.000 0.000

Values from the calculation:
final energy: -18.30 eV per formula unit